YMoF2 after structural relaxation. Source: the Alexandria database, functional GGA+U.

The calculation puts the relative energy among the computed polymorphs at 0.099 eV/atom. Its theoretical density is 5.2 g cm⁻³. The calculation puts the total magnetization at 3.72 μB per formula unit.

The structure belongs to space group R-3m (No. 166, hexagonal axes); the cell edges are 3.2703, 3.2703 and 23.0876 Å and the angles 90.00°, 90.00° and 120.00°. Symmetry generates all atoms from Y at (0.0000, 0.0000, 0.0000), Mo at (0.0000, 0.0000, 0.5000) and F at (0.0000, 0.0000, 0.4040).